A geometry-optimized Mg2ZnPt2 structure. Source: the Alexandria database, functional PBE.

Lattice parameters (Å, degrees): 5.1435 6.5974 6.7264 119.37 112.48 90.00
Closest atoms and distances in Å follow each position.
Fractional positions:
Mg1 0.8924 0.7477 0.7847  5 Pt 2.63-2.81, 2 Zn 2.90
Mg2 0.1076 0.2523 0.2153  5 Pt 2.63-2.81, 2 Zn 2.90
Mg3 0.6076 0.9630 0.2153  5 Pt 2.63-2.81, 2 Zn 2.90
Mg4 0.3924 0.0370 0.7847  5 Pt 2.63-2.81, 2 Zn 2.90
Zn1 0.7500 0.5000 0.0000  2 Zn 2.57, 4 Pt 2.59
Zn2 0.2500 0.5000 0.0000  2 Zn 2.57, 4 Pt 2.59
Pt1 0.3501 0.5917 0.7003  2 Zn 2.59, 5 Mg 2.63-2.81
Pt2 0.6499 0.4083 0.2997  2 Zn 2.59, 5 Mg 2.63-2.81
Pt3 0.1499 0.8915 0.2997  2 Zn 2.59, 5 Mg 2.63-2.81
Pt4 0.8501 0.1085 0.7003  2 Zn 2.59, 5 Mg 2.63-2.81

## Properties
E_form	-0.4819	eV/atom
space group	Ibam, No. 72

A geometry-optimized Be2PF structure. Source: the Alexandria database, functional PBE.

Lattice parameters (Å, degrees): 4.4949 4.4949 5.8215 67.29 67.29 90.00
Closest atoms and distances in Å follow each position.
Fractional positions:
P1 0.0000 0.0000 0.0000  4 Be 2.07
P2 0.7500 0.2500 0.5000  4 Be 2.07
Be1 0.5976 0.1250 0.2500  2 F 1.94, 2 P 2.07
Be2 0.1524 0.6250 0.2500  2 F 1.94, 2 P 2.07
Be3 0.3750 0.4024 0.7500  2 F 1.94, 2 P 2.07
Be4 0.8750 0.8476 0.7500  2 F 1.94, 2 P 2.07
F1 0.5000 0.5000 0.0000  4 Be 1.94
F2 0.2500 0.7500 0.5000  4 Be 1.94

## Properties
relative energy among the computed polymorphs	359	meV/atom
E_form (uncorrected)	-0.95	eV per atom
space group	I-42d, No. 122

A geometry-optimized Ba2Ge2Mo structure. Source: the Alexandria database, functional PBE.

Lattice parameters (Å, degrees): 4.4018 4.4018 7.7034 73.40 73.40 90.00
Closest atoms and distances in Å follow each position.
Fractional positions:
Mo1 0.0000 0.0000 0.0000  8 Ge 3.32
Ge1 0.4178 0.4178 0.1644  1 Ge 2.32
Ge2 0.5822 0.5822 0.8356  1 Ge 2.32
Ba1 0.7500 0.2500 0.5000  4 Ba 3.11, 4 Ge 3.23
Ba2 0.2500 0.7500 0.5000  4 Ba 3.11, 4 Ge 3.23

## Properties
relative energy among the computed polymorphs	823	meV/atom
E_form	0.9235	eV/atom
space group	I4/mmm, No. 139

A geometry-optimized CsSr2InPt structure. Source: the Alexandria database, functional PBE.

Lattice parameters (Å, degrees): 6.0583 6.0583 5.3820 90.00 90.00 90.00
Closest atoms and distances in Å follow each position.
Fractional positions:
Cs1 0.5000 0.5000 0.5000  8 Sr 4.05, 4 In 4.28
Sr1 0.0000 0.5000 0.0000  2 Pt 3.03
Sr2 0.5000 0.0000 0.0000  2 Pt 3.03
Pt1 0.0000 0.0000 0.0000  2 In 2.69
In1 0.0000 0.0000 0.5000  2 Pt 2.69

## Properties
E_form	-0.3369	eV/atom
space group	P4/mmm, No. 123

A geometry-optimized BeTc2Cl structure. Source: the Alexandria database, functional PBE.

Lattice parameters (Å, degrees): 5.1046 5.1046 5.1046 148.91 123.58 65.83
Closest atoms and distances in Å follow each position.
Fractional positions:
Be1 0.7500 0.2500 0.5000  4 Tc 2.58, 2 Be 2.74, 4 Cl 2.77
Tc1 0.0048 0.0048 0.0000  2 Cl 2.51, 2 Be 2.58, 6 Tc 2.74-2.78
Tc2 0.4952 0.4952 0.0000  2 Cl 2.51, 2 Be 2.58, 6 Tc 2.74-2.78
Cl1 0.2500 0.7500 0.5000  4 Tc 2.51, 2 Cl 2.74, 4 Be 2.77

## Properties
relative energy among the computed polymorphs	613	meV/atom
E_form (uncorrected)	0.71	eV per atom
space group	Immm, No. 71

A geometry-optimized KCaO2F structure. Source: the Alexandria database, functional PBE.

Lattice parameters (Å, degrees): 4.5825 4.5825 4.5204 90.00 90.00 90.00
Closest atoms and distances in Å follow each position.
Fractional positions:
Ca1 0.0000 0.0000 0.0000  2 F 2.26, 4 O 2.29
K1 0.5000 0.5000 0.5000  8 O 3.22, 4 F 3.24
O1 0.0000 0.5000 0.0000  2 Ca 2.29
O2 0.5000 0.0000 0.0000  2 Ca 2.29
F1 0.0000 0.0000 0.5000  2 Ca 2.26

## Properties
E_form (uncorrected)	-1.79	eV per atom
space group	P4/mmm, No. 123

A geometry-optimized CoGeSbI2 structure. Source: the Alexandria database, functional PBE.

Lattice parameters (Å, degrees): 5.3082 5.3082 4.8262 90.00 90.00 90.00
Closest atoms and distances in Å follow each position.
Fractional positions:
I1 0.0000 0.5000 0.0000  2 Co 2.65
I2 0.5000 0.0000 0.0000  2 Co 2.65
Sb1 0.0000 0.0000 0.5000  2 Co 2.41
Ge1 0.5000 0.5000 0.5000  8 I 3.59, 4 Sb 3.75
Co1 0.0000 0.0000 0.0000  2 Sb 2.41, 4 I 2.65

## Properties
relative energy among the computed polymorphs	0	meV/atom
E_form (uncorrected)	0.52	eV per atom
space group	P4/mmm, No. 123

A geometry-optimized Ca2ZnIn structure. Source: the Alexandria database, functional PBE.

Lattice parameters (Å, degrees): 9.6958 9.6958 9.6958 22.72 22.72 22.72
Closest atoms and distances in Å follow each position.
Fractional positions:
Zn1 0.7500 0.7500 0.7500  6 Ca 3.12
Ca1 0.0055 0.0055 0.0055  3 Zn 3.12, 3 In 3.35
Ca2 0.4945 0.4945 0.4945  3 Zn 3.12, 3 In 3.35
In1 0.2500 0.2500 0.2500  6 Ca 3.35

## Properties
E_form	-0.1652	eV/atom
space group	R-3m, No. 166

For reference, magnetic moment by record: 0.00; 0.00; 0.00; 0.47; 0.00; 2.00; 0.00; 0.00 Bohr magnetons per cell.